Entry 1:
# Pu2ZrSn

Pu2ZrSn after structural relaxation (PBE-GGA, the Alexandria database).

```
Pu2ZrSn
1.0
4.405 0.000 0.000
0.000 4.405 0.000
0.000 0.000 4.940
Pu Zr Sn
2 1 1
Cartesian
0.000 2.202 0.000
2.202 0.000 0.000
0.000 0.000 2.470
2.202 2.202 2.470
```

Output
The value obtained for the total moment is 11.02 Bohr magnetons per cell. The density of states at the Fermi level comes out at 2.64 states/eV per atom. The value obtained for the energy relative to the elements is -0.25 eV per atom. As for the polymorph energy (0 for the lowest one): 0.000 eV per atom.


Entry 2:
# PuZrSn2

PuZrSn2 after structural relaxation (PBE-GGA, the Alexandria database).

```
PuZrSn2
1.0
3.845 0.000 0.000
0.000 3.845 0.000
0.000 0.000 6.647
Pu Zr Sn
1 1 2
Cartesian
0.000 0.000 0.000
0.000 0.000 3.324
1.923 1.923 1.824
1.923 1.923 4.823
```

Output
The value obtained for the total moment is 5.74 Bohr magnetons per cell. The density of states at the Fermi level comes out at 2.76 states/eV per atom. The value obtained for the energy relative to the elements is -0.35 eV per atom.


Entry 3:
# SrPu2

SrPu2 after structural relaxation (PBE-GGA, the Alexandria database).

```
SrPu2
1.0
0.000 4.715 4.715
4.715 0.000 4.715
4.715 4.715 0.000
Sr Pu
2 4
Cartesian
1.179 1.179 1.179
8.252 8.252 8.252
4.715 2.358 2.358
2.358 4.715 2.358
2.358 2.358 4.715
4.715 4.715 4.715
```

Output
The value obtained for the total moment is 27.11 Bohr magnetons per cell. The density of states at the Fermi level comes out at 4.96 states/eV per atom. The value obtained for the energy relative to the elements is 0.39 eV per atom.


Entry 4:
# Sr4Pu

Sr4Pu after structural relaxation (PBE-GGA, the Alexandria database).

```
Sr4Pu
1.0
6.451 0.000 0.000
0.000 6.451 0.000
0.000 0.000 6.451
Sr Pu
4 1
Cartesian
0.000 0.000 0.000
0.000 3.226 3.226
3.226 0.000 3.226
3.226 3.226 0.000
3.226 3.226 3.226
```

Output
The value obtained for the total moment is 9.93 Bohr magnetons per cell. The density of states at the Fermi level comes out at 2.57 states/eV per atom. The value obtained for the energy relative to the elements is 0.59 eV per atom.


Entry 5:
# SrTb2Pu

SrTb2Pu after structural relaxation (PBE-GGA, the Alexandria database).

```
SrTb2Pu
1.0
3.574 0.000 0.000
-1.787 3.095 0.000
0.000 0.000 37.811
Sr Tb Pu
3 6 3
Cartesian
0.000 0.000 0.000
0.000 2.063 25.208
1.787 1.032 12.604
0.000 0.000 3.545
0.000 0.000 34.266
0.000 2.063 21.662
0.000 2.063 28.753
1.787 1.032 9.059
1.787 1.032 16.149
0.000 0.000 18.906
0.000 2.063 6.302
1.787 1.032 31.510
```

Output
The value obtained for the total moment is 18.53 Bohr magnetons per cell. The density of states at the Fermi level comes out at 3.10 states/eV per atom. The value obtained for the energy relative to the elements is 0.31 eV per atom.


Entry 6:
# SrPu2Tc

SrPu2Tc after structural relaxation (PBE-GGA, the Alexandria database).

```
SrPu2Tc
1.0
3.382 0.000 0.000
0.000 3.382 0.000
0.000 0.000 9.565
Sr Pu Tc
1 2 1
Cartesian
0.000 0.000 0.000
1.691 1.691 3.089
1.691 1.691 6.477
0.000 0.000 4.783
```

Output
The value obtained for the total moment is 10.90 Bohr magnetons per cell. The density of states at the Fermi level comes out at 3.13 states/eV per atom. The value obtained for the energy relative to the elements is 0.22 eV per atom.


Entry 7:
# SrPuTe2

SrPuTe2 after structural relaxation (PBE-GGA, the Alexandria database).

```
SrPuTe2
1.0
4.577 0.000 0.000
-2.288 3.963 0.000
0.000 0.000 22.725
Sr Pu Te
3 3 6
Cartesian
0.000 0.000 0.000
0.000 2.642 15.150
2.288 1.321 7.575
0.000 0.000 11.362
0.000 2.642 3.787
2.288 1.321 18.937
0.000 0.000 5.572
0.000 0.000 17.153
0.000 2.642 9.578
0.000 2.642 20.722
2.288 1.321 2.003
2.288 1.321 13.147
```

Output
The value obtained for the total moment is 17.87 Bohr magnetons per cell. The density of states at the Fermi level comes out at 2.99 states/eV per atom. As for the polymorph energy (0 for the lowest one): 0.010 eV per atom.


Entry 8:
# SrPuTe2

SrPuTe2 after structural relaxation (PBE-GGA, the Alexandria database).

```
SrPuTe2
1.0
4.571 0.000 0.000
-2.285 3.958 0.000
0.000 0.000 22.630
Sr Pu Te
3 3 6
Cartesian
0.000 0.000 0.000
0.000 2.639 3.984
2.285 1.319 18.645
0.000 0.000 11.315
0.000 2.639 14.824
2.285 1.319 7.806
0.000 0.000 6.004
0.000 0.000 16.626
0.000 2.639 9.548
0.000 2.639 20.631
2.285 1.319 1.999
2.285 1.319 13.081
```

Output
The value obtained for the total moment is 5.75 Bohr magnetons per cell. The density of states at the Fermi level comes out at 2.92 states/eV per atom. As for the polymorph energy (0 for the lowest one): 0.000 eV per atom.


Entry 9:
# SrPu2Te4

SrPu2Te4 after structural relaxation (PBE-GGA, the Alexandria database).

```
SrPu2Te4
1.0
-4.769 4.769 4.770
4.769 -4.769 4.770
4.769 4.769 -4.770
Sr Pu Te
2 4 8
Cartesian
0.000 0.000 0.000
0.000 4.769 2.385
2.385 -1.221 3.577
3.548 2.385 1.192
2.385 5.990 -1.192
1.221 2.385 5.962
6.392 0.737 0.567
4.032 3.146 -1.818
0.737 3.146 -0.567
0.737 1.623 2.952
4.032 1.623 4.203
1.623 -0.737 6.588
3.146 5.506 1.818
-1.623 4.032 5.337
```

Output
The value obtained for the total moment is 19.99 Bohr magnetons per cell. The density of states at the Fermi level comes out at 2.97 states/eV per atom. As for the polymorph energy (0 for the lowest one): 0.000 eV per atom.


Entry 10:
# SrPu2Te4

SrPu2Te4 after structural relaxation (PBE-GGA, the Alexandria database).

```
SrPu2Te4
1.0
2.238 -7.230 0.000
2.238 7.230 0.000
0.000 0.000 15.292
Sr Pu Te
2 4 8
Cartesian
2.238 5.617 11.469
2.238 -5.617 3.823
2.238 1.943 8.638
2.238 1.943 14.299
2.238 -1.943 0.992
2.238 -1.943 6.653
0.000 0.000 0.000
0.000 0.000 7.646
2.238 3.302 1.816
2.238 3.302 5.829
2.238 0.815 11.469
2.238 -0.815 3.823
2.238 -3.302 9.462
2.238 -3.302 13.475
```

Output
The value obtained for the total moment is 20.00 Bohr magnetons per cell. The density of states at the Fermi level comes out at 3.71 states/eV per atom. As for the polymorph energy (0 for the lowest one): 0.016 eV per atom.


Entry 11:
# SrPuTe2

SrPuTe2 after structural relaxation (PBE-GGA, the Alexandria database).

```
SrPuTe2
1.0
3.917 0.000 0.000
0.000 3.917 0.000
0.000 0.000 7.961
Sr Pu Te
1 1 2
Cartesian
0.000 0.000 0.000
0.000 0.000 3.980
1.959 1.959 2.105
1.959 1.959 5.855
```

Output
The value obtained for the total moment is 5.98 Bohr magnetons per cell. The density of states at the Fermi level comes out at 1.50 states/eV per atom. As for the polymorph energy (0 for the lowest one): 0.181 eV per atom.


Entry 12:
# SrPuTe2

SrPuTe2 after structural relaxation (PBE-GGA, the Alexandria database).

```
SrPuTe2
1.0
4.451 0.000 0.000
-2.226 3.855 0.000
0.000 0.000 23.584
Sr Pu Te
3 3 6
Cartesian
0.000 0.000 0.000
0.000 2.570 15.723
2.226 1.285 7.861
0.000 0.000 19.520
0.000 2.570 11.658
2.226 1.285 3.797
0.000 0.000 5.639
0.000 0.000 9.908
0.000 2.570 2.047
0.000 2.570 21.362
2.226 1.285 13.501
2.226 1.285 17.770
```

Output
The value obtained for the total moment is 0.83 Bohr magnetons per cell. The density of states at the Fermi level comes out at 3.17 states/eV per atom. As for the polymorph energy (0 for the lowest one): 0.758 eV per atom.


Entry 13:
# SrPuTe

SrPuTe after structural relaxation (PBE-GGA, the Alexandria database).

```
SrPuTe
1.0
4.290 0.000 0.000
0.000 5.355 0.000
0.000 0.000 18.787
Sr Pu Te
4 4 4
Cartesian
0.000 0.000 3.105
0.000 0.000 15.683
2.145 2.677 6.289
2.145 2.677 12.498
0.000 1.328 9.394
0.000 4.027 9.394
2.145 1.350 0.000
2.145 4.005 0.000
0.000 0.000 6.434
0.000 0.000 12.354
2.145 2.677 2.960
2.145 2.677 15.827
```

Output
The value obtained for the total moment is 25.83 Bohr magnetons per cell. The density of states at the Fermi level comes out at 2.28 states/eV per atom. The value obtained for the total energy is -7.049 eV per atom.


Entry 14:
# SrPu2Te3

SrPu2Te3 after structural relaxation (PBE-GGA, the Alexandria database).

```
SrPu2Te3
1.0
4.545 0.000 0.000
0.000 6.422 0.000
0.000 0.000 13.638
Sr Pu Te
2 4 6
Cartesian
0.000 0.000 0.000
2.272 3.211 6.819
0.000 0.000 4.582
0.000 0.000 9.056
2.272 3.211 2.237
2.272 3.211 11.401
0.000 3.211 0.000
0.000 3.211 4.429
0.000 3.211 9.209
2.272 0.000 2.390
2.272 0.000 6.819
2.272 0.000 11.248
```

Output
The value obtained for the total moment is 23.76 Bohr magnetons per cell. The density of states at the Fermi level comes out at 3.80 states/eV per atom. The value obtained for the total energy is -7.886 eV per atom.


Entry 15:
# Sr4PuTe5

Sr4PuTe5 after structural relaxation (PBE-GGA, the Alexandria database).

```
Sr4PuTe5
1.0
-2.344 2.344 16.650
2.344 -2.344 16.650
2.344 2.344 -16.650
Sr Pu Te
4 1 5
Cartesian
0.000 0.000 3.302
0.000 0.000 10.019
0.000 0.000 23.280
0.000 0.000 29.997
0.000 0.000 16.650
0.000 0.000 0.000
0.000 0.000 6.650
0.000 0.000 13.405
0.000 0.000 19.894
0.000 0.000 26.649
```

Output
The value obtained for the total moment is 5.99 Bohr magnetons per cell. The density of states at the Fermi level comes out at 1.67 states/eV per atom. The value obtained for the total energy is -5.256 eV per atom.


Entry 16:
# Sr3PuTe4

Sr3PuTe4 after structural relaxation (PBE-GGA, the Alexandria database).

```
Sr3PuTe4
1.0
4.670 0.000 0.000
0.000 4.670 0.000
0.000 0.000 13.286
Sr Pu Te
3 1 4
Cartesian
0.000 0.000 0.000
2.335 2.335 3.343
2.335 2.335 9.944
0.000 0.000 6.643
0.000 0.000 3.396
0.000 0.000 9.890
2.335 2.335 0.000
2.335 2.335 6.643
```

Output
The value obtained for the total moment is 5.98 Bohr magnetons per cell. The density of states at the Fermi level comes out at 2.05 states/eV per atom. As for the polymorph energy (0 for the lowest one): 0.000 eV per atom.


Entry 17:
# Sr3PuTe4

Sr3PuTe4 after structural relaxation (PBE-GGA, the Alexandria database).

```
Sr3PuTe4
1.0
9.370 0.000 0.000
0.000 13.260 0.000
0.000 0.000 4.670
Sr Pu Te
6 2 8
Cartesian
0.000 0.000 0.000
2.342 3.315 2.335
2.342 9.945 2.335
4.685 6.630 0.000
7.027 3.315 2.335
7.027 9.945 2.335
0.000 6.630 0.000
4.685 0.000 0.000
0.000 3.373 0.000
0.000 9.887 0.000
2.251 6.630 2.335
2.434 0.000 2.335
4.685 3.257 0.000
4.685 10.003 0.000
6.936 0.000 2.335
7.118 6.630 2.335
```

Output
The value obtained for the total moment is 11.94 Bohr magnetons per cell. The density of states at the Fermi level comes out at 2.38 states/eV per atom. As for the polymorph energy (0 for the lowest one): 0.006 eV per atom.


Entry 18:
# Sr3Y3PuTe8

Sr3Y3PuTe8 after structural relaxation (PBE-GGA, the Alexandria database).

```
Sr3Y3PuTe8
1.0
4.465 2.578 7.609
-4.465 2.578 7.609
0.000 -5.156 7.609
Sr Y Pu Te
3 3 1 8
Cartesian
-2.233 -1.289 7.609
-2.233 1.289 15.219
0.000 2.578 7.609
-4.465 0.000 11.414
-2.233 1.289 3.805
2.233 1.289 3.805
0.000 0.000 11.414
-2.303 -1.329 13.197
0.000 0.000 5.565
0.000 -2.659 9.631
-2.303 1.329 9.631
2.303 -1.329 13.197
0.000 2.659 13.197
0.000 0.000 17.264
2.303 1.329 9.631
```

Output
The value obtained for the total moment is 5.81 Bohr magnetons per cell. The density of states at the Fermi level comes out at 1.40 states/eV per atom. The value obtained for the total energy is -5.724 eV per atom.


Entry 19:
# Sr3Y2PuTe6

Sr3Y2PuTe6 after structural relaxation (PBE-GGA, the Alexandria database).

```
Sr3Y2PuTe6
1.0
9.982 -2.257 0.000
9.982 2.257 0.000
-2.302 0.000 8.897
Sr Y Pu Te
3 2 1 6
Cartesian
0.000 0.000 0.000
5.146 0.000 5.940
12.515 0.000 2.957
6.286 0.000 1.505
11.375 0.000 7.392
-1.151 0.000 4.449
1.926 0.000 5.296
3.262 0.000 0.640
9.296 0.000 2.274
8.365 0.000 6.624
14.399 0.000 8.258
15.735 0.000 3.601
```

Output
The value obtained for the total moment is 6.24 Bohr magnetons per cell. The density of states at the Fermi level comes out at 1.43 states/eV per atom. The value obtained for the total energy is -5.726 eV per atom.


Entry 20:
# SrPuTl2

SrPuTl2 after structural relaxation (PBE-GGA, the Alexandria database).

```
SrPuTl2
1.0
3.628 0.000 0.000
0.000 3.628 0.000
0.000 0.000 9.242
Sr Pu Tl
1 1 2
Cartesian
0.000 0.000 0.000
0.000 0.000 4.621
1.814 1.814 2.420
1.814 1.814 6.822
```

Output
The value obtained for the total moment is 5.76 Bohr magnetons per cell. The density of states at the Fermi level comes out at 2.46 states/eV per atom. The value obtained for the energy relative to the elements is -0.16 eV per atom.


Entry 21:
# Sr2PuTl9

Sr2PuTl9 after structural relaxation (PBE-GGA, the Alexandria database).

```
Sr2PuTl9
1.0
4.928 0.000 0.000
0.000 4.928 0.000
0.000 0.000 14.731
Sr Pu Tl
2 1 9
Cartesian
0.000 0.000 2.519
0.000 0.000 12.213
0.000 0.000 7.366
0.000 2.464 0.000
0.000 2.464 5.024
0.000 2.464 9.707
2.464 0.000 0.000
2.464 0.000 5.024
2.464 0.000 9.707
2.464 2.464 2.481
2.464 2.464 7.366
2.464 2.464 12.250
```

Output
The value obtained for the total moment is 5.99 Bohr magnetons per cell. The density of states at the Fermi level comes out at 1.92 states/eV per atom. The value obtained for the energy relative to the elements is -0.17 eV per atom.


Entry 22:
# Sr5PuTl6

Sr5PuTl6 after structural relaxation (PBE-GGA, the Alexandria database).

```
Sr5PuTl6
1.0
-2.885 4.021 8.624
2.885 -4.021 8.624
2.885 4.021 -8.624
Sr Pu Tl
5 1 6
Cartesian
0.000 0.000 0.000
2.885 0.000 2.816
0.000 0.000 5.630
0.000 0.000 11.618
0.000 4.021 5.808
0.000 4.021 0.000
2.885 -1.904 5.844
2.885 2.194 0.000
0.000 2.117 2.780
2.885 1.904 5.844
0.000 1.827 8.624
0.000 5.925 2.780
```

Output
The value obtained for the total moment is 5.79 Bohr magnetons per cell. The density of states at the Fermi level comes out at 1.37 states/eV per atom. The value obtained for the energy relative to the elements is -0.34 eV per atom.


Entry 23:
# SrPuTl5

SrPuTl5 after structural relaxation (PBE-GGA, the Alexandria database).

```
SrPuTl5
1.0
5.150 0.000 0.000
0.000 5.150 0.000
0.000 0.000 8.554
Sr Pu Tl
1 1 5
Cartesian
0.000 0.000 0.000
2.575 2.575 4.277
0.000 2.575 2.362
0.000 2.575 6.192
2.575 0.000 2.362
2.575 0.000 6.192
2.575 2.575 0.000
```

Output
The value obtained for the total moment is 5.94 Bohr magnetons per cell. The density of states at the Fermi level comes out at 2.36 states/eV per atom. The value obtained for the energy relative to the elements is -0.01 eV per atom.


Entry 24:
# Sr2PuTl

Sr2PuTl after structural relaxation (PBE-GGA, the Alexandria database).

```
Sr2PuTl
1.0
3.803 0.000 0.000
-1.901 3.293 0.000
0.000 0.000 37.546
Sr Pu Tl
6 3 3
Cartesian
0.000 0.000 3.599
0.000 0.000 33.947
0.000 2.196 21.432
0.000 2.196 28.629
1.901 1.098 8.917
1.901 1.098 16.114
0.000 0.000 0.000
0.000 2.196 25.031
1.901 1.098 12.515
0.000 0.000 18.773
0.000 2.196 6.258
1.901 1.098 31.288
```

Output
The value obtained for the total moment is 18.93 Bohr magnetons per cell. The density of states at the Fermi level comes out at 3.48 states/eV per atom. The value obtained for the energy relative to the elements is 0.26 eV per atom.


Entry 25:
# SrPuTl2

SrPuTl2 after structural relaxation (PBE-GGA, the Alexandria database).

```
SrPuTl2
1.0
5.675 0.000 0.000
0.000 5.675 0.000
0.000 0.000 3.870
Sr Pu Tl
1 1 2
Cartesian
0.000 0.000 0.000
2.837 2.837 0.000
0.000 2.837 1.935
2.837 0.000 1.935
```

Output
The value obtained for the total moment is 5.80 Bohr magnetons per cell. The density of states at the Fermi level comes out at 2.77 states/eV per atom. The value obtained for the energy relative to the elements is -0.16 eV per atom.